Below is CdTc2As after structural relaxation, with properties calculated at the GGA-PBEsol level.

```
CdTc2As
1.0
3.047 0.000 0.000
0.000 4.322 0.000
0.000 0.000 9.474
Cd Tc As
2 4 2
direct
0.000 0.000 0.000
0.500 0.500 0.500
0.000 0.000 0.534
0.000 0.500 0.787
0.500 0.000 0.287
0.500 0.500 0.034
0.000 0.500 0.239
0.500 0.000 0.739
```

The calculation puts the theoretical density at 10.20 g/cm3. The energy relative to the lowest polymorph listed for this composition is 261 meV per atom. The total energy is -54.68 eV per cell. As for the density of states at the Fermi level: 1.053 states/eV/atom. Its formation energy is 0.375 eV/atom. Its space-group type is Imm2 (44).

---

Below is CdTc2As after structural relaxation, with properties calculated at the GGA-PBEsol level.

```
CdTc2As
1.0
2.857 0.000 0.000
-1.429 2.474 0.000
0.000 0.000 27.484
Cd Tc As
3 6 3
direct
0.000 0.000 0.000
0.333 0.667 0.667
0.667 0.333 0.333
0.000 0.000 0.493
0.000 0.000 0.754
0.333 0.667 0.160
0.333 0.667 0.421
0.667 0.333 0.088
0.667 0.333 0.827
0.000 0.000 0.233
0.333 0.667 0.900
0.667 0.333 0.567
```

The calculation puts the theoretical density at 9.83 g/cm3. The energy relative to the lowest polymorph listed for this composition is 0 meV per atom. The total energy is -85.15 eV per cell. As for the density of states at the Fermi level: 0.499 states/eV/atom. Its formation energy is 0.113 eV/atom. Its space-group type is R3m (160).

---

Below is Cd2TcAs after structural relaxation, with properties calculated at the GGA-PBEsol level.

```
Cd2TcAs
1.0
3.110 0.000 0.000
0.000 4.733 0.000
0.000 0.000 10.193
Cd Tc As
4 2 2
direct
0.000 0.000 0.000
0.000 0.500 0.205
0.500 0.000 0.705
0.500 0.500 0.500
0.000 0.500 0.738
0.500 0.000 0.238
0.000 0.000 0.416
0.500 0.500 0.916
```

The calculation puts the theoretical density at 8.80 g/cm3. The total energy is -35.84 eV per cell. As for the density of states at the Fermi level: 0.487 states/eV/atom. Its formation energy is 0.212 eV/atom. Its space-group type is Imm2 (44).

---

Below is CdTc2As after structural relaxation, with properties calculated at the GGA-PBEsol level.

```
CdTc2As
1.0
8.317 0.000 0.000
0.000 2.994 0.000
-1.284 0.000 5.113
Cd Tc As
2 4 2
direct
0.000 0.000 0.000
0.500 0.500 0.000
0.231 0.000 0.704
0.269 0.500 0.296
0.731 0.500 0.704
0.769 0.000 0.296
0.000 0.500 0.500
0.500 0.000 0.500
```

The calculation puts the theoretical density at 10.00 g/cm3. The energy relative to the lowest polymorph listed for this composition is 201 meV per atom. The total energy is -55.16 eV per cell. As for the density of states at the Fermi level: 0.748 states/eV/atom. Its formation energy is 0.314 eV/atom. Its space-group type is C2/m (12).

---

Below is Cd2TcAs after structural relaxation, with properties calculated at the GGA-PBEsol level.

```
Cd2TcAs
1.0
2.894 0.000 0.000
0.000 5.321 0.000
-0.344 0.000 4.605
Cd Tc As
2 1 1
direct
0.243 0.000 0.253
0.757 0.000 0.747
0.500 0.500 0.500
0.000 0.500 0.000
```

The calculation puts the theoretical density at 9.31 g/cm3. The total energy is -17.02 eV per cell. As for the density of states at the Fermi level: 0.718 states/eV/atom. Its formation energy is 0.436 eV/atom. Its space-group type is P2/m (10).

---

Below is CdTc2As after structural relaxation, with properties calculated at the GGA-PBEsol level.

```
CdTc2As
1.0
2.940 0.000 0.000
0.000 3.824 0.000
-1.199 0.000 5.590
Cd Tc As
1 2 1
direct
0.000 0.000 0.000
0.361 0.500 0.717
0.639 0.500 0.283
0.000 0.000 0.500
```

The calculation puts the theoretical density at 10.13 g/cm3. The energy relative to the lowest polymorph listed for this composition is 168 meV per atom. The total energy is -27.71 eV per cell. As for the density of states at the Fermi level: 1.099 states/eV/atom. Its formation energy is 0.282 eV/atom. Its space-group type is P2/m (10).

---

Below is Cd2TcAs after structural relaxation, with properties calculated at the GGA-PBEsol level.

```
Cd2TcAs
1.0
3.039 0.000 0.000
-1.519 2.632 0.000
0.000 0.000 27.581
Cd Tc As
6 3 3
direct
0.000 0.000 0.000
0.000 0.000 0.240
0.333 0.667 0.667
0.333 0.667 0.907
0.667 0.333 0.333
0.667 0.333 0.573
0.000 0.000 0.750
0.333 0.667 0.416
0.667 0.333 0.083
0.000 0.000 0.477
0.333 0.667 0.144
0.667 0.333 0.810
```

The calculation puts the theoretical density at 8.98 g/cm3. The total energy is -55.75 eV per cell. As for the density of states at the Fermi level: 0.640 states/eV/atom. Its formation energy is 0.046 eV/atom. Its space-group type is R3m (160).

---

Below is Cd2TcAs after structural relaxation, with properties calculated at the GGA-PBEsol level.

```
Cd2TcAs
1.0
2.906 0.000 0.000
0.000 4.561 0.000
0.000 0.000 5.300
Cd Tc As
2 1 1
direct
0.000 0.000 0.244
0.000 0.000 0.756
0.500 0.500 0.000
0.500 0.500 0.500
```

The calculation puts the theoretical density at 9.40 g/cm3. The total energy is -16.93 eV per cell. As for the density of states at the Fermi level: 0.666 states/eV/atom. Its formation energy is 0.459 eV/atom. Its space-group type is Pmmm (47).

---

Below is CdTc2As after structural relaxation, with properties calculated at the GGA-PBEsol level.

```
CdTc2As
1.0
3.941 0.000 0.000
0.000 3.941 0.000
0.000 0.000 7.937
Cd Tc As
2 4 2
direct
0.000 0.000 0.000
0.500 0.500 0.500
0.000 0.000 0.500
0.000 0.500 0.250
0.500 0.000 0.750
0.500 0.500 0.000
0.000 0.500 0.750
0.500 0.000 0.250
```

The calculation puts the theoretical density at 10.33 g/cm3. The energy relative to the lowest polymorph listed for this composition is 394 meV per atom. The total energy is -53.61 eV per cell. As for the density of states at the Fermi level: 1.005 states/eV/atom. Its formation energy is 0.507 eV/atom. Its space-group type is I-4m2 (119).

---

Below is Cd2TeAs after structural relaxation, with properties calculated at the GGA-PBEsol level.

```
Cd2TeAs
1.0
5.881 0.000 0.000
0.000 8.183 0.000
-1.890 0.000 4.016
Cd Te As
4 2 2
direct
0.250 0.250 0.000
0.250 0.750 0.000
0.750 0.250 0.000
0.750 0.750 0.000
0.000 0.000 0.500
0.500 0.500 0.500
0.000 0.500 0.500
0.500 0.000 0.500
```

The calculation puts the theoretical density at 7.34 g/cm3. The energy relative to the lowest polymorph listed for this composition is 42 meV per atom. The total energy is -21.62 eV per cell. As for the density of states at the Fermi level: 0.401 states/eV/atom. The value obtained for the uncorrected formation energy is 0.22 eV/f.u. Its space-group type is C2/m (12).

---

Below is Cd2TeAs after structural relaxation, with properties calculated at the GGA-PBEsol level.

```
Cd2TeAs
1.0
3.112 0.000 0.000
-1.556 2.695 0.000
0.000 0.000 32.836
Cd Te As
6 3 3
direct
0.000 0.000 0.243
0.000 0.000 0.757
0.333 0.667 0.424
0.333 0.667 0.910
0.667 0.333 0.090
0.667 0.333 0.576
0.000 0.000 0.000
0.333 0.667 0.667
0.667 0.333 0.333
0.000 0.000 0.500
0.333 0.667 0.167
0.667 0.333 0.833
```

The calculation puts the theoretical density at 7.73 g/cm3. The energy relative to the lowest polymorph listed for this composition is 225 meV per atom. The total energy is -30.23 eV per cell. As for the density of states at the Fermi level: 0.517 states/eV/atom. The value obtained for the uncorrected formation energy is 0.95 eV/f.u. Its space-group type is R-3m (166).

---

Below is Cd2TeAs after structural relaxation, with properties calculated at the GGA-PBEsol level.

```
Cd2TeAs
1.0
2.978 0.000 0.000
0.000 3.984 0.000
0.000 0.000 7.911
Cd Te As
2 1 1
direct
0.004 0.000 0.288
0.996 0.000 0.712
0.000 0.500 0.000
0.500 0.500 0.500
```

The calculation puts the theoretical density at 7.56 g/cm3. The energy relative to the lowest polymorph listed for this composition is 0 meV per atom. The total energy is -10.98 eV per cell. As for the density of states at the Fermi level: 0.410 states/eV/atom. The value obtained for the uncorrected formation energy is 0.05 eV/f.u. Its space-group type is P2/m (10).